# 1
The following is a DFT calculation (PBE-GGA) of a relaxed K3PuTe2O9 crystal.

Cell lengths 5.913, 5.913, 7.220 Å; angles 90.00, 90.00, 120.00 degrees
Atoms (fractional coordinates):
K (0.333, 0.667, 0.673)
K (0.000, 0.000, 0.000)
K (0.667, 0.333, 0.327)
O (0.828, 0.172, 0.671)
O (0.656, 0.828, 0.329)
O (0.500, 0.500, 0.000)
O (0.172, 0.828, 0.329)
O (0.500, 0.000, 0.000)
O (0.172, 0.344, 0.329)
O (0.000, 0.500, 0.000)
O (0.344, 0.172, 0.671)
O (0.828, 0.656, 0.671)
Te (0.667, 0.333, 0.836)
Te (0.333, 0.667, 0.164)
Pu (0.000, 0.000, 0.500)

Output
final energy: -6.268 eV per atom
space-group type: P-3m1
size of the total moment: 3.13 μB per formula unit

# 2
The following is a DFT calculation (PBE-GGA) of a relaxed SrOsRu crystal.

Cell lengths 4.188, 6.118, 5.336 Å; angles 101.25, 90.00, 90.00 degrees
Atoms (fractional coordinates):
Os (0.524, 0.130, 0.495)
Os (0.524, 0.153, 0.002)
Ru (0.024, 0.025, 0.726)
Ru (0.024, 0.001, 0.220)
Sr (0.524, 0.652, 0.873)
Sr (0.024, 0.501, 0.347)

Output
final energy: -7.084 eV per atom
space-group type: Pm
formation energy from the elements: 0.93 eV per formula unit
size of the total moment: 0.00 μB per formula unit

# 3
The following is a DFT calculation (PBE-GGA) of a relaxed MnIn2Se crystal.

Cell lengths 8.083, 8.083, 8.083 Å; angles 26.36, 26.36, 26.36 degrees
Atoms (fractional coordinates):
Se (0.750, 0.750, 0.750)
In (0.499, 0.499, 0.499)
In (0.001, 0.001, 0.001)
Mn (0.250, 0.250, 0.250)

Output
final energy: -4.418 eV per atom
space-group type: R-3m
size of the total moment: 3.89 μB per formula unit

# 4
The following is a DFT calculation (PBE-GGA) of a relaxed Pr2CoN crystal.

Cell lengths 3.696, 3.696, 7.244 Å; angles 75.22, 75.22, 60.00 degrees
Atoms (fractional coordinates):
N (0.500, 0.500, 0.500)
Pr (0.238, 0.238, 0.287)
Pr (0.762, 0.762, 0.713)
Co (0.000, 0.000, 0.000)

Output
final energy: -6.638 eV per atom
space-group type: R-3m
size of the total moment: 0.49 μB per formula unit

# 5
The following is a DFT calculation (PBE-GGA) of a relaxed Hg2SbBr2 crystal.

Cell lengths 7.776, 7.776, 14.560 Å; angles 91.66, 91.66, 153.06 degrees
Atoms (fractional coordinates):
Sb (0.129, 0.129, 0.259)
Sb (0.879, 0.379, 0.759)
Br (0.927, 0.182, 0.141)
Br (0.932, 0.177, 0.641)
Br (0.709, 0.463, 0.641)
Br (0.213, 0.959, 0.141)
Hg (0.124, 0.306, 0.911)
Hg (0.355, 0.037, 0.411)
Hg (0.056, 0.374, 0.411)
Hg (0.787, 0.605, 0.911)

Output
final energy: -1.819 eV per atom
space-group type: Fdd2
size of the total moment: 0.00 μB per formula unit

# 6
The following is a DFT calculation (PBE-GGA) of a relaxed La2TlF crystal.

Cell lengths 5.388, 5.388, 5.388 Å; angles 60.00, 60.00, 60.00 degrees
Atoms (fractional coordinates):
F (0.000, 0.000, 0.000)
Tl (0.500, 0.500, 0.500)
La (0.250, 0.250, 0.250)
La (0.750, 0.750, 0.750)

Output
final energy: -4.582 eV per atom
space-group type: Fm-3m
size of the total moment: 0.00 μB per formula unit

# 7
The following is a DFT calculation (PBE-GGA) of a relaxed LiRuRh2 crystal.

Cell lengths 4.634, 4.634, 2.672 Å; angles 90.00, 90.00, 107.95 degrees
Atoms (fractional coordinates):
Rh (0.500, 0.500, 0.000)
Rh (0.000, 0.000, 0.000)
Li (0.000, 0.500, 0.500)
Ru (0.500, 0.000, 0.500)

Output
final energy: -6.464 eV per atom
space-group type: Cmmm
formation energy from the elements: 0.04 eV per formula unit
size of the total moment: 0.00 μB per formula unit

# 8
The following is a DFT calculation (PBE-GGA) of a relaxed GdLuZnCo crystal.

Cell lengths 4.848, 4.848, 4.848 Å; angles 60.00, 60.00, 60.00 degrees
Atoms (fractional coordinates):
Zn (0.000, 0.000, 0.000)
Lu (0.750, 0.750, 0.750)
Co (0.500, 0.500, 0.500)
Gd (0.250, 0.250, 0.250)

Output
final energy: -6.983 eV per atom
space-group type: F-43m
formation energy from the elements: -0.95 eV per formula unit
size of the total moment: 6.84 μB per formula unit